(one)
A plane-wave DFT calculation with PBE was carried out for a geometry-optimized Y3Tm6Th structure.

The structure in CIF format:
```
data_Y3Tm6Th
_symmetry_space_group_name_H-M 'C m c 21'
_symmetry_Int_Tables_number 36
_cell_length_a 9.361
_cell_length_b 15.118
_cell_length_c 8.921
_cell_angle_alpha 90.00
_cell_angle_beta 90.00
_cell_angle_gamma 90.00
loop_
_symmetry_equiv_pos_as_xyz
'x,y,z'
'-x,-y,z+1/2'
'-x,y,z'
'x,-y,z+1/2'
'x+1/2,y+1/2,z'
'-x+1/2,-y+1/2,z+1/2'
'-x+1/2,y+1/2,z'
'x+1/2,-y+1/2,z+1/2'
loop_
_atom_site_label
_atom_site_fract_x
_atom_site_fract_y
_atom_site_fract_z
Y1 0.000 0.048 0.000
Y2 0.174 0.354 0.510
Tm1 0.000 0.213 0.739
Tm2 0.000 0.444 0.871
Tm3 0.180 0.148 0.354
Tm4 0.238 0.441 0.182
Th1 0.000 0.275 0.103
```

DOS(E_F) ... 55.3 states/eV per cell
Calculated volume ... 31.56 Å³ per atom
Magnetization ... 0.00 μB per cell

(two)
A plane-wave DFT calculation with PBE was carried out for a geometry-optimized Y3Tm6Th structure.

The structure in CIF format:
```
data_Y3Tm6Th
_symmetry_space_group_name_H-M 'R 3 2'
_symmetry_Int_Tables_number 155
_symmetry_space_group_name_Hall 'R 3 2"'
_cell_length_a 9.7476
_cell_length_b 9.7476
_cell_length_c 11.6730
_cell_angle_alpha 90.00
_cell_angle_beta 90.00
_cell_angle_gamma 120.00
loop_
_atom_site_label
_atom_site_fract_x
_atom_site_fract_y
_atom_site_fract_z
Y1 0.0000 0.0000 0.0000
Y2 0.0000 0.0000 0.2423
Tm1 0.0000 0.3315 0.5000
Tm2 0.0000 0.6639 0.0000
Th1 0.0000 0.0000 0.5000
```

DOS(E_F) ... 57.0 states/eV per cell
Calculated volume ... 32.02 Å³ per atom
Magnetization ... 0.00 μB per cell

Result of the stability comparison: (two) is the least stable of them.

(one)
A plane-wave DFT calculation with PBE was carried out for a geometry-optimized Y5Tm2Th4 structure.

The structure in CIF format:
```
data_Y5Tm2Th4
_symmetry_space_group_name_H-M 'C 1 2/m 1'
_symmetry_Int_Tables_number 12
_cell_length_a 23.418
_cell_length_b 3.580
_cell_length_c 8.672
_cell_angle_alpha 90.00
_cell_angle_beta 104.69
_cell_angle_gamma 90.00
loop_
_symmetry_equiv_pos_as_xyz
'x,y,z'
'-x,-y,-z'
'-x,y,-z'
'x,-y,z'
'x+1/2,y+1/2,z'
'-x+1/2,-y+1/2,-z'
'-x+1/2,y+1/2,-z'
'x+1/2,-y+1/2,z'
loop_
_atom_site_label
_atom_site_fract_x
_atom_site_fract_y
_atom_site_fract_z
Y1 0.000 0.000 0.000
Y2 0.137 0.500 0.095
Y3 0.226 0.500 0.810
Tm1 0.089 0.000 0.717
Th1 0.046 0.500 0.365
Th2 0.182 0.000 0.452
```

DOS(E_F) ... 32.7 states/eV per cell
Calculated volume ... 31.97 Å³ per atom
Magnetization ... 0.00 μB per cell

(two)
A plane-wave DFT calculation with PBE was carried out for a geometry-optimized Y5Tm2Th4 structure.

The structure in CIF format:
```
data_Y5Tm2Th4
_symmetry_space_group_name_H-M 'C 1 2/m 1'
_symmetry_Int_Tables_number 12
_cell_length_a 16.749
_cell_length_b 6.653
_cell_length_c 6.570
_cell_angle_alpha 90.00
_cell_angle_beta 99.01
_cell_angle_gamma 90.00
loop_
_symmetry_equiv_pos_as_xyz
'x,y,z'
'-x,-y,-z'
'-x,y,-z'
'x,-y,z'
'x+1/2,y+1/2,z'
'-x+1/2,-y+1/2,-z'
'-x+1/2,y+1/2,-z'
'x+1/2,-y+1/2,z'
loop_
_atom_site_label
_atom_site_fract_x
_atom_site_fract_y
_atom_site_fract_z
Y1 0.000 0.000 0.000
Y2 0.087 0.260 0.409
Tm1 0.197 0.000 0.820
Th1 0.096 0.500 0.912
Th2 0.248 0.000 0.335
```

DOS(E_F) ... 33.0 states/eV per cell
Calculated volume ... 32.86 Å³ per atom
Magnetization ... 0.00 μB per cell

Result of the stability comparison: (two) is the least stable of them.

(one)
A plane-wave DFT calculation with PBE was carried out for a geometry-optimized Y3TmTh2 structure.

The structure in CIF format:
```
data_Y3TmTh2
_symmetry_space_group_name_H-M 'C m c m'
_symmetry_Int_Tables_number 63
_symmetry_space_group_name_Hall '-C 2c 2'
_cell_length_a 6.986
_cell_length_b 17.311
_cell_length_c 6.500
_cell_angle_alpha 90.00
_cell_angle_beta 90.00
_cell_angle_gamma 90.00
loop_
_atom_site_label
_atom_site_fract_x
_atom_site_fract_y
_atom_site_fract_z
Y1 0.000 0.146 0.250
Y2 0.250 0.178 0.750
Tm1 0.000 0.354 0.750
Th1 0.248 0.500 0.000
```

DOS(E_F) ... 30.7 states/eV per cell
Calculated volume ... 32.75 Å³ per atom
Magnetization ... 0.00 μB per cell

(two)
A plane-wave DFT calculation with PBE was carried out for a geometry-optimized Y3TmTh2 structure.

The structure in CIF format:
```
data_Y3TmTh2
_symmetry_space_group_name_H-M 'P 1 21/m 1'
_symmetry_Int_Tables_number 11
_cell_length_a 10.045
_cell_length_b 3.578
_cell_length_c 10.652
_cell_angle_alpha 90.00
_cell_angle_beta 90.12
_cell_angle_gamma 90.00
loop_
_symmetry_equiv_pos_as_xyz
'x,y,z'
'-x,-y,-z'
'-x,y+1/2,-z'
'x,-y+1/2,z'
loop_
_atom_site_label
_atom_site_fract_x
_atom_site_fract_y
_atom_site_fract_z
Y1 0.123 0.250 0.251
Y2 0.135 0.250 0.918
Y3 0.370 0.750 0.417
Tm1 0.376 0.750 0.750
Th1 0.124 0.250 0.583
Th2 0.381 0.750 0.083
```

DOS(E_F) ... 15.6 states/eV per cell
Calculated volume ... 31.90 Å³ per atom
Magnetization ... 0.00 μB per cell

Result of the stability comparison: (one) is the least stable of them.

(one)
A plane-wave DFT calculation with PBE was carried out for a geometry-optimized Y2Tm8Th3 structure.

The structure in CIF format:
```
data_Y2Tm8Th3
_symmetry_space_group_name_H-M 'C 1 2/m 1'
_symmetry_Int_Tables_number 12
_cell_length_a 14.755
_cell_length_b 9.179
_cell_length_c 6.553
_cell_angle_alpha 90.00
_cell_angle_beta 99.58
_cell_angle_gamma 90.00
loop_
_symmetry_equiv_pos_as_xyz
'x,y,z'
'-x,-y,-z'
'-x,y,-z'
'x,-y,z'
'x+1/2,y+1/2,z'
'-x+1/2,-y+1/2,-z'
'-x+1/2,y+1/2,-z'
'x+1/2,-y+1/2,z'
loop_
_atom_site_label
_atom_site_fract_x
_atom_site_fract_y
_atom_site_fract_z
Y1 0.198 0.000 0.279
Tm1 0.082 0.500 0.873
Tm2 0.111 0.323 0.435
Tm3 0.215 0.000 0.784
Th1 0.000 0.000 0.500
Th2 0.000 0.170 0.000
```

DOS(E_F) ... 40.5 states/eV per cell
Calculated volume ... 33.66 Å³ per atom
Magnetization ... 0.00 μB per cell

(two)
A plane-wave DFT calculation with PBE was carried out for a geometry-optimized Y2Tm8Th3 structure.

The structure in CIF format:
```
data_Y2Tm8Th3
_symmetry_space_group_name_H-M 'C m m m'
_symmetry_Int_Tables_number 65
_symmetry_space_group_name_Hall '-C 2 2'
_cell_length_a 7.821
_cell_length_b 19.829
_cell_length_c 5.494
_cell_angle_alpha 90.00
_cell_angle_beta 90.00
_cell_angle_gamma 90.00
loop_
_atom_site_label
_atom_site_fract_x
_atom_site_fract_y
_atom_site_fract_z
Y1 0.000 0.238 0.000
Tm1 0.000 0.128 0.500
Tm2 0.000 0.332 0.500
Tm3 0.203 0.393 0.000
Th1 0.000 0.000 0.000
Th2 0.203 0.500 0.500
```

DOS(E_F) ... 45.8 states/eV per cell
Calculated volume ... 32.77 Å³ per atom
Magnetization ... 0.00 μB per cell

Result of the stability comparison: (one) is the least stable of them.

(one)
A plane-wave DFT calculation with PBE was carried out for a geometry-optimized Y7TmTh3 structure.

The structure in CIF format:
```
data_Y7TmTh3
_symmetry_space_group_name_H-M 'P 3 m 1'
_symmetry_Int_Tables_number 156
_cell_length_a 7.1068
_cell_length_b 7.1068
_cell_length_c 8.5283
_cell_angle_alpha 90.00
_cell_angle_beta 90.00
_cell_angle_gamma 120.00
loop_
_symmetry_equiv_pos_as_xyz
'x,y,z'
'-y,x-y,z'
'-x+y,-x,z'
'-y,-x,z'
'-x+y,y,z'
'x,x-y,z'
loop_
_atom_site_label
_atom_site_fract_x
_atom_site_fract_y
_atom_site_fract_z
Y1 0.0000 0.0000 0.0000
Y2 0.1657 0.3314 0.6567
Y3 0.5014 0.0028 0.9961
Tm1 0.6667 0.3333 0.6545
Th1 0.3345 0.1673 0.3278
```

DOS(E_F) ... 15.9 states/eV per cell
Calculated volume ... 33.91 Å³ per atom
Magnetization ... 0.00 μB per cell

(two)
A plane-wave DFT calculation with PBE was carried out for a geometry-optimized Y7TmTh3 structure.

The structure in CIF format:
```
data_Y7TmTh3
_symmetry_space_group_name_H-M 'P -1'
_symmetry_Int_Tables_number 2
_cell_length_a 6.455
_cell_length_b 6.713
_cell_length_c 8.684
_cell_angle_alpha 101.42
_cell_angle_beta 96.97
_cell_angle_gamma 96.78
loop_
_symmetry_equiv_pos_as_xyz
'x,y,z'
'-x,-y,-z'
loop_
_atom_site_label
_atom_site_fract_x
_atom_site_fract_y
_atom_site_fract_z
Y1 0.000 0.000 0.000
Y2 0.069 0.714 0.645
Y3 0.206 0.231 0.705
Y4 0.492 0.731 0.924
Tm1 0.000 0.500 0.000
Th1 0.325 0.945 0.336
Th2 0.500 0.500 0.500
```

DOS(E_F) ... 19.0 states/eV per cell
Calculated volume ... 32.93 Å³ per atom
Magnetization ... 0.00 μB per cell

Result of the stability comparison: (one) is the least stable of them.

(one)
A plane-wave DFT calculation with PBE was carried out for a geometry-optimized Tm2ThZn structure.

The structure in CIF format:
```
data_Tm2ThZn
_symmetry_space_group_name_H-M 'R -3 m'
_symmetry_Int_Tables_number 166
_symmetry_space_group_name_Hall '-R 3 2"'
_cell_length_a 3.5393
_cell_length_b 3.5393
_cell_length_c 30.4014
_cell_angle_alpha 90.00
_cell_angle_beta 90.00
_cell_angle_gamma 120.00
loop_
_atom_site_label
_atom_site_fract_x
_atom_site_fract_y
_atom_site_fract_z
Tm1 0.0000 0.0000 0.2398
Th1 0.0000 0.0000 0.0000
Zn1 0.0000 0.0000 0.5000
```

DOS(E_F) ... 13.3 states/eV per cell
Calculated volume ... 27.48 Å³ per atom
Magnetization ... 0.00 μB per cell

(two)
A plane-wave DFT calculation with PBE was carried out for a geometry-optimized Tm2ThZn structure.

The structure in CIF format:
```
data_Tm2ThZn
_symmetry_space_group_name_H-M 'P 4/m m m'
_symmetry_Int_Tables_number 123
_symmetry_space_group_name_Hall '-P 4 2'
_cell_length_a 4.717
_cell_length_b 4.717
_cell_length_c 4.801
_cell_angle_alpha 90.00
_cell_angle_beta 90.00
_cell_angle_gamma 90.00
loop_
_atom_site_label
_atom_site_fract_x
_atom_site_fract_y
_atom_site_fract_z
Tm1 0.000 0.500 0.000
Th1 0.000 0.000 0.500
Zn1 0.500 0.500 0.500
```

DOS(E_F) ... 5.3 states/eV per cell
Calculated volume ... 26.71 Å³ per atom
Magnetization ... 0.00 μB per cell

Result of the stability comparison: (two) is the least stable of them.